P) ! Er2TmTl4 | the Alexandria database | PBE | optimized geometry; values from VASP
! - density of states at the Fermi level (states/eV/f.u.) = 4.62
! - SG = No. 166
&SYSTEM
  ibrav = 0, nat = 7, ntyp = 3
/
ATOMIC_SPECIES
Tl 204.38 Tl.upf
Er 167.26 Er.upf
Tm 168.93 Tm.upf
ATOMIC_POSITIONS crystal
Tl 0.243 0.243 0.272
Tl 0.381 0.381 0.857
Tl 0.757 0.757 0.728
Tl 0.619 0.619 0.143
Er 0.129 0.129 0.613
Er 0.871 0.871 0.387
Tm 0.000 0.000 0.000
CELL_PARAMETERS angstrom
-4.651 1.315 -0.546
-3.424 -3.390 -0.665
-4.021 -1.289 9.478

Q) ! Er2TmTl4 | the Alexandria database | PBE | optimized geometry; values from VASP
! - density of states at the Fermi level (states/eV/f.u.) = 5.31
! - SG = No. 139
&SYSTEM
  ibrav = 0, nat = 7, ntyp = 3
/
ATOMIC_SPECIES
Tl 204.38 Tl.upf
Er 167.26 Er.upf
Tm 168.93 Tm.upf
ATOMIC_POSITIONS crystal
Tl 0.500 0.000 0.000
Tl 0.500 0.500 0.500
Tl 0.000 0.000 0.500
Tl 0.000 0.500 0.000
Er 0.500 0.000 0.500
Er 0.500 0.500 0.000
Tm 0.000 0.000 0.000
CELL_PARAMETERS angstrom
6.060 -0.014 -2.141
-3.024 5.249 -2.145
-0.008 0.014 6.427

Which structure is most stable? Q), by 170 meV/atom over the runner-up.

P) ! YErTmTl | the Alexandria database | PBE | optimized geometry; values from VASP
! - density of states at the Fermi level (states/eV/f.u.) = 4.88
! - SG = No. 47
&SYSTEM
  ibrav = 0, nat = 4, ntyp = 4
/
ATOMIC_SPECIES
Er 167.26 Er.upf
Tl 204.38 Tl.upf
Tm 168.93 Tm.upf
Y 88.91 Y.upf
ATOMIC_POSITIONS crystal
Er 0.000 0.500 0.500
Tl 0.500 0.000 0.500
Tm 0.500 0.500 0.000
Y 0.000 0.000 0.000
CELL_PARAMETERS angstrom
-1.961 1.017 -4.289
-2.742 -3.966 0.313
-3.448 2.556 2.183

Q) ! YErTmTl | the Alexandria database | PBE | optimized geometry; values from VASP
! - density of states at the Fermi level (states/eV/f.u.) = 5.72
! - SG = No. 216
&SYSTEM
  ibrav = 0, nat = 4, ntyp = 4
/
ATOMIC_SPECIES
Tm 168.93 Tm.upf
Tl 204.38 Tl.upf
Y 88.91 Y.upf
Er 167.26 Er.upf
ATOMIC_POSITIONS crystal
Tm 0.500 0.500 0.500
Tl 0.000 0.000 0.000
Y 0.750 0.750 0.750
Er 0.250 0.250 0.250
CELL_PARAMETERS angstrom
5.435 0.000 0.000
2.718 4.707 0.000
2.718 1.569 4.438

Which structure is most stable? P), by 140 meV/atom over the runner-up.

P) ! ErTmTlZn | the Alexandria database | PBE | optimized geometry; values from VASP
! - density of states at the Fermi level (states/eV/f.u.) = 3.08
! - SG = No. 99
&SYSTEM
  ibrav = 0, nat = 4, ntyp = 4
/
ATOMIC_SPECIES
Tl 204.38 Tl.upf
Zn 65.41 Zn.upf
Er 167.26 Er.upf
Tm 168.93 Tm.upf
ATOMIC_POSITIONS crystal
Tl 0.500 0.500 0.109
Zn 0.500 0.500 0.605
Er 0.000 0.000 0.836
Tm 0.000 0.000 0.378
CELL_PARAMETERS angstrom
-1.075 2.243 2.642
-3.441 -0.367 -1.089
-0.821 -5.725 4.527

Q) ! ErTmTlZn | the Alexandria database | PBE | optimized geometry; values from VASP
! - density of states at the Fermi level (states/eV/f.u.) = 4.05
! - SG = No. 216
&SYSTEM
  ibrav = 0, nat = 4, ntyp = 4
/
ATOMIC_SPECIES
Zn 65.41 Zn.upf
Er 167.26 Er.upf
Tl 204.38 Tl.upf
Tm 168.93 Tm.upf
ATOMIC_POSITIONS crystal
Zn 0.750 0.750 0.750
Er 0.500 0.500 0.500
Tl 0.250 0.250 0.250
Tm 0.000 0.000 0.000
CELL_PARAMETERS angstrom
-2.268 -3.932 -2.476
-2.869 -3.402 2.632
-5.135 -0.061 -0.598

Which structure is most stable? P), by 29 meV/atom over the runner-up.

P) ! YEr4Tl | the Alexandria database | PBE | optimized geometry; values from VASP
! - density of states at the Fermi level (states/eV/f.u.) = 6.94
! - SG = No. 15
&SYSTEM
  ibrav = 0, nat = 12, ntyp = 3
/
ATOMIC_SPECIES
Er 167.26 Er.upf
Y 88.91 Y.upf
Tl 204.38 Tl.upf
ATOMIC_POSITIONS crystal
Er 0.367 0.905 0.619
Er 0.039 0.158 0.744
Er 0.633 0.095 0.381
Er 0.795 0.415 0.256
Er 0.248 0.286 0.381
Er 0.205 0.585 0.744
Er 0.752 0.714 0.619
Er 0.961 0.842 0.256
Y 0.661 0.411 0.822
Y 0.339 0.589 0.178
Tl 0.250 0.000 0.000
Tl 0.750 0.000 0.000
CELL_PARAMETERS angstrom
-5.168 1.418 3.495
6.927 -3.044 4.753
1.456 7.367 -3.330

Q) ! YEr4Tl | the Alexandria database | PBE | optimized geometry; values from VASP
! - density of states at the Fermi level (states/eV/f.u.) = 6.17
! - SG = No. 123
&SYSTEM
  ibrav = 0, nat = 6, ntyp = 3
/
ATOMIC_SPECIES
Tl 204.38 Tl.upf
Er 167.26 Er.upf
Y 88.91 Y.upf
ATOMIC_POSITIONS crystal
Tl 0.500 0.500 0.500
Er 0.000 0.000 0.350
Er 0.000 0.000 0.650
Er 0.500 0.500 0.823
Er 0.500 0.500 0.177
Y 0.000 0.000 0.000
CELL_PARAMETERS angstrom
3.560 0.000 0.000
0.000 3.560 0.000
0.000 0.000 14.121

Which structure is most stable? Q), by 88 meV/atom over the runner-up.

P) ! Y2Er3Tl | the Alexandria database | PBE | optimized geometry; values from VASP
! - density of states at the Fermi level (states/eV/f.u.) = 9.26
! - SG = No. 71
&SYSTEM
  ibrav = 0, nat = 6, ntyp = 3
/
ATOMIC_SPECIES
Er 167.26 Er.upf
Tl 204.38 Tl.upf
Y 88.91 Y.upf
ATOMIC_POSITIONS crystal
Er 0.000 0.124 0.000
Er 0.654 0.778 0.308
Er 0.346 0.470 0.692
Tl 0.500 0.124 0.000
Y 0.185 0.809 0.370
Y 0.815 0.439 0.630
CELL_PARAMETERS angstrom
6.395 0.000 0.000
0.000 5.748 0.000
-3.197 -2.874 5.067

Q) ! Y2Er3Tl | the Alexandria database | PBE | optimized geometry; values from VASP
! - density of states at the Fermi level (states/eV/f.u.) = 6.30
! - SG = No. 65
&SYSTEM
  ibrav = 0, nat = 6, ntyp = 3
/
ATOMIC_SPECIES
Y 88.91 Y.upf
Er 167.26 Er.upf
Tl 204.38 Tl.upf
ATOMIC_POSITIONS crystal
Y 0.000 0.339 0.678
Y 0.000 0.661 0.322
Er 0.500 0.831 0.661
Er 0.500 0.169 0.339
Er 0.500 0.500 0.000
Tl 0.000 0.000 0.000
CELL_PARAMETERS angstrom
4.872 0.000 0.000
0.000 4.576 -1.547
0.000 0.125 7.912

Which structure is most stable? Q), by 366 meV/atom over the runner-up.

P) ! Y2Er2Tl3 | the Alexandria database | PBE | optimized geometry; values from VASP
! - density of states at the Fermi level (states/eV/f.u.) = 6.80
! - SG = No. 65
&SYSTEM
  ibrav = 0, nat = 7, ntyp = 3
/
ATOMIC_SPECIES
Er 167.26 Er.upf
Y 88.91 Y.upf
Tl 204.38 Tl.upf
ATOMIC_POSITIONS crystal
Er 0.298 0.500 0.404
Er 0.702 0.500 0.596
Y 0.568 0.500 0.863
Y 0.432 0.500 0.137
Tl 0.000 0.000 0.000
Tl 0.137 0.000 0.726
Tl 0.863 0.000 0.274
CELL_PARAMETERS angstrom
-1.438 3.204 -0.013
-0.889 -0.386 3.427
13.215 7.874 4.317

Q) ! Y2Er2Tl3 | the Alexandria database | PBE | optimized geometry; values from VASP
! - density of states at the Fermi level (states/eV/f.u.) = 7.18
! - SG = No. 12
&SYSTEM
  ibrav = 0, nat = 7, ntyp = 3
/
ATOMIC_SPECIES
Tl 204.38 Tl.upf
Y 88.91 Y.upf
Er 167.26 Er.upf
ATOMIC_POSITIONS crystal
Tl 0.146 0.544 0.710
Tl 0.000 0.000 0.000
Tl 0.854 0.456 0.290
Y 0.297 0.151 0.405
Y 0.703 0.849 0.595
Er 0.432 0.720 0.135
Er 0.568 0.280 0.865
CELL_PARAMETERS angstrom
-0.918 -0.872 -3.541
6.401 -5.215 -0.372
-5.120 -4.414 0.422

Which structure is most stable? Q), by 33 meV/atom over the runner-up.